The following is a GGA+U calculation of ReMoO6 after structural relaxation, from the Alexandria database.

Calculated total energy: -7.507 eV/atom

Cell: 4.8326 4.8327 5.5149 Å, 64.01 83.72 75.54°
Last column: nearest neighbours and their distance in Å.
Atoms (fractional coordinates):
O  0.2558  0.6162  0.2553  1 Re 1.92, 1 Mo 1.97
O  0.7471  0.7476  0.0000  1 Re 1.89, 1 Mo 1.93
O  0.7442  0.1285  0.2553  1 Re 1.92, 1 Mo 1.97
O  0.2529  0.2524  0.0000  1 Re 1.89, 1 Mo 1.93
O  0.2558  0.8715  0.7447  1 Re 1.92, 1 Mo 1.97
O  0.7442  0.3838  0.7447  1 Re 1.92, 1 Mo 1.97
Mo  0.0000  0.0000  0.0000  6 O 1.93-1.97
Re  0.5000  0.5000  0.0000  6 O 1.89-1.92